1.
! ScAl3, relaxed, DFT PBE-GGA; values from VASP
! Uncorrected energy   -17.47 eV/f.u.
! Magnetic moment   0.00 μB/cell
! Symmetry   Cmcm
! D(E_F)   7.1 states/eV per cell
! Energy of formation   0.021 eV/atom
! ρ   2.69 g/cm3
&SYSTEM
  ibrav = 0, nat = 8, ntyp = 2
/
ATOMIC_SPECIES
Sc 44.96 Sc.upf
Al 26.98 Al.upf
CELL_PARAMETERS angstrom
-3.2268 3.2666 3.2433
1.2116 -3.5088 4.2217
3.9259 2.7377 1.1487
ATOMIC_POSITIONS angstrom
Sc 0.3533 -0.0160 4.1033
Sc 1.5573 2.5114 4.5104
Al 0.0245 4.8513 4.1725
Al 1.8862 -2.3559 4.4412
Al 3.3880 0.2822 3.5666
Al -1.4773 2.2132 5.0471
Al 2.7014 0.1997 6.1099
Al -0.7907 2.2958 2.5038



2.
! ScAl2, relaxed, DFT PBE-GGA; values from VASP
! Uncorrected energy   -14.52 eV/f.u.
! Magnetic moment   0.40 μB/cell
! Symmetry   C2/m
! D(E_F)   5.4 states/eV per cell
! Energy of formation   -0.234 eV/atom
! ρ   2.93 g/cm3
&SYSTEM
  ibrav = 0, nat = 6, ntyp = 2
/
ATOMIC_SPECIES
Sc 44.96 Sc.upf
Al 26.98 Al.upf
CELL_PARAMETERS angstrom
1.5065 5.3567 0.0081
-1.5065 5.3567 0.0081
0.0000 2.6565 6.9406
ATOMIC_POSITIONS angstrom
Sc 0.0000 9.3321 0.8954
Sc 0.0000 4.0379 6.0613
Al 0.0000 6.8782 5.2667
Al 0.0000 2.8570 3.2596
Al 0.0000 10.5130 3.6972
Al 0.0000 6.4918 1.6901



3.
! Sc5Al4, relaxed, DFT PBE-GGA; values from VASP
! Uncorrected energy   -50.03 eV/f.u.
! Magnetic moment   0.00 μB/cell
! Symmetry   P6_3/mcm
! D(E_F)   16.4 states/eV per cell
! Distance to the lowest polymorph of the same formula   0 meV/atom
! Energy of formation   -0.378 eV/atom
! ρ   3.00 g/cm3
&SYSTEM
  ibrav = 0, nat = 18, ntyp = 2
/
ATOMIC_SPECIES
Al 26.98 Al.upf
Sc 44.96 Sc.upf
CELL_PARAMETERS angstrom
-6.7672 -1.3809 -4.8287
-0.3751 -1.4476 8.2935
-1.7964 5.6430 0.9037
ATOMIC_POSITIONS angstrom
Al 0.0000 0.0000 0.0000
Al -0.8982 2.8215 0.4518
Al -0.5863 0.8812 3.2598
Al -4.9786 -0.3830 2.4233
Al -2.9247 0.9056 -1.5405
Al -1.5852 3.3143 5.9374
Al -3.9601 3.1976 1.9453
Al -5.6389 3.3565 -2.3845
Sc -0.7143 0.3875 6.0885
Sc -2.5426 0.5817 1.2415
Sc -5.2327 0.4346 -3.1874
Sc -1.4572 3.8080 3.1088
Sc -6.3961 2.2329 3.1270
Sc -3.3309 3.8275 -0.7376
Sc -4.6365 -1.4032 -0.4546
Sc -3.4040 1.3962 4.3713
Sc -2.5058 -1.4254 3.9195
Sc -5.5347 1.4184 -0.0028



4.
! Sc7Al, relaxed, DFT PBE-GGA; values from VASP
! Uncorrected energy   -48.58 eV/f.u.
! Magnetic moment   0.00 μB/cell
! Symmetry   Fm-3m
! D(E_F)   9.7 states/eV per cell
! Energy of formation   -0.065 eV/atom
! ρ   3.06 g/cm3
&SYSTEM
  ibrav = 0, nat = 8, ntyp = 2
/
ATOMIC_SPECIES
Al 26.98 Al.upf
Sc 44.96 Sc.upf
CELL_PARAMETERS angstrom
-0.5964 4.5553 -4.4585
-3.4445 -1.1192 -5.2790
-5.6232 2.9434 -0.8368
ATOMIC_POSITIONS angstrom
Al 0.0000 0.0000 0.0000
Sc -3.1098 3.7493 -2.6476
Sc -4.5338 0.9121 -3.0579
Sc -2.8116 1.4717 -0.4184
Sc -1.7222 -0.5596 -2.6395
Sc -0.2982 2.2776 -2.2292
Sc -2.0204 1.7180 -4.8687
Sc -4.8320 3.1897 -5.2871



5.
! Sc3Al, relaxed, DFT PBE-GGA; values from VASP
! Uncorrected energy   -23.50 eV/f.u.
! Magnetic moment   0.36 μB/cell
! Symmetry   Pm-3n
! D(E_F)   8.4 states/eV per cell
! Energy of formation   -0.191 eV/atom
! ρ   3.08 g/cm3
&SYSTEM
  ibrav = 0, nat = 8, ntyp = 2
/
ATOMIC_SPECIES
Al 26.98 Al.upf
Sc 44.96 Sc.upf
CELL_PARAMETERS angstrom
-2.4856 0.4386 -4.9827
4.9276 -0.7412 -2.5233
-0.8593 -5.5187 -0.0571
ATOMIC_POSITIONS angstrom
Al 0.0000 0.0000 0.0000
Al 0.7914 -2.9106 -3.7816
Sc 0.5996 -0.0416 -4.9987
Sc 1.8424 -0.2609 -2.5073
Sc 3.2661 -3.3152 -1.9211
Sc 0.8022 -2.9446 -0.6594
Sc -1.4576 -1.1604 -2.5056
Sc -1.8873 -3.9197 -2.5342



6.
! Sc2Al, relaxed, DFT PBE-GGA; values from VASP
! Uncorrected energy   -16.21 eV/f.u.
! Magnetic moment   0.00 μB/cell
! Symmetry   P-31m
! D(E_F)   12.4 states/eV per cell
! Energy of formation   0.066 eV/atom
! ρ   2.56 g/cm3
&SYSTEM
  ibrav = 0, nat = 9, ntyp = 2
/
ATOMIC_SPECIES
Sc 44.96 Sc.upf
Al 26.98 Al.upf
CELL_PARAMETERS angstrom
-2.2188 5.3010 1.6723
1.4029 -0.9823 -5.7348
-6.8031 -2.4552 -1.2436
ATOMIC_POSITIONS angstrom
Sc -5.8030 -0.2896 -2.5917
Sc -6.8346 1.2482 0.0157
Sc -4.6297 -2.5771 -4.4938
Sc -0.7706 -0.8604 -2.4846
Sc -2.1874 1.5976 0.4130
Sc -1.8161 2.1531 -2.7144
Al 0.0000 0.0000 0.0000
Al -3.2059 -0.1155 -3.8876
Al -4.4132 1.9790 -1.4185



7.
! Sc2Al, relaxed, DFT PBE-GGA; values from VASP
! Uncorrected energy   -16.40 eV/f.u.
! Magnetic moment   0.01 μB/cell
! Symmetry   Fm-3m
! D(E_F)   19.2 states/eV per cell
! Energy of formation   0.003 eV/atom
! ρ   2.57 g/cm3
&SYSTEM
  ibrav = 0, nat = 12, ntyp = 2
/
ATOMIC_SPECIES
Sc 44.96 Sc.upf
Al 26.98 Al.upf
CELL_PARAMETERS angstrom
6.7087 0.0000 0.0000
0.0000 6.7087 0.0000
0.0000 0.0000 6.7087
ATOMIC_POSITIONS angstrom
Sc 5.0315 5.0315 1.6773
Sc 1.6773 1.6773 5.0315
Sc 1.6771 5.0317 5.0315
Sc 5.0317 1.6771 1.6773
Sc 1.6773 1.6771 1.6771
Sc 5.0315 5.0317 5.0317
Sc 5.0317 1.6773 5.0317
Sc 1.6771 5.0315 1.6771
Al 0.0000 0.0000 0.0000
Al 3.3544 3.3544 0.0000
Al 3.3544 0.0000 3.3544
Al 0.0000 3.3544 3.3544



8.
! ScAl2, relaxed, DFT PBE-GGA; values from VASP
! Uncorrected energy   -15.29 eV/f.u.
! Magnetic moment   0.00 μB/cell
! Symmetry   Fd-3m
! D(E_F)   3.5 states/eV per cell
! Energy of formation   -0.490 eV/atom
! ρ   3.02 g/cm3
&SYSTEM
  ibrav = 0, nat = 6, ntyp = 2
/
ATOMIC_SPECIES
Al 26.98 Al.upf
Sc 44.96 Sc.upf
CELL_PARAMETERS angstrom
5.3604 0.0000 0.0000
2.6802 4.6423 0.0000
2.6802 1.5474 4.3768
ATOMIC_POSITIONS angstrom
Al 5.3604 3.0948 2.1884
Al 1.3401 2.3211 0.0000
Al 2.6802 0.0000 0.0000
Al 4.0203 2.3211 0.0000
Sc 8.0406 4.6423 1.6413
Sc 2.6802 1.5474 2.7355